DFT (PBE) results for a relaxed structure of Nb2V3Mo4.

Cell and atoms, written as extended XYZ:
```
9
Lattice="0.000 4.348 6.605 2.489 0.000 6.605 2.489 4.348 0.000" Properties=species:S:1:pos:R:3 pbc="T T T"
Nb 2.489 4.348 1.527
Nb 2.489 4.348 11.683
V 1.245 2.174 0.000
V 1.245 2.174 6.605
V 2.489 4.348 6.605
Mo 2.489 2.949 4.294
Mo 2.489 5.748 4.294
Mo 2.489 2.949 8.916
Mo 2.489 5.748 8.916
```

Results
ΔH_f (0 K) ... 0.28 eV per formula unit
DOS(E_F) ... 8.18 states/eV/cell
Theoretical density ... 8.39 g cm⁻³